Here is a geometry-optimized Ca3Ce2ScP6 structure from Alexandria via LeMat-Bulk. Energies are from PBE.

Lattice parameters (Å, degrees): 7.038 7.038 7.034 99.62 99.62 120.05
Fractional coordinates of all 12 atoms:
Ca (0.000, 0.000, 0.000)
Ca (0.332, 0.668, 0.000)
Ca (0.668, 0.332, 0.000)
Ce (0.166, 0.834, 0.500)
Ce (0.834, 0.166, 0.500)
Sc (0.500, 0.500, 0.500)
P (0.099, 0.424, 0.271)
P (0.252, 0.252, 0.730)
P (0.424, 0.099, 0.271)
P (0.576, 0.901, 0.729)
P (0.748, 0.748, 0.270)
P (0.901, 0.576, 0.729)

Space-group type   C2/m, No. 12
ΔH_f (0 K)   -1430 kJ/mol of formula units



Here is a geometry-optimized CaCe2SmP4 structure from Alexandria via LeMat-Bulk. Energies are from PBE.

Lattice parameters (Å, degrees): 7.083 4.117 7.136 90.00 109.58 90.00
Fractional coordinates of all 8 atoms:
Ca (0.000, 0.000, 0.000)
Ce (0.500, 0.000, 0.500)
Ce (0.500, 0.500, 0.000)
Sm (0.000, 0.500, 0.500)
P (0.257, 0.000, 0.749)
P (0.262, 0.500, 0.257)
P (0.738, 0.500, 0.743)
P (0.743, 0.000, 0.251)

Space-group type   P2/m, No. 10
ΔH_f (0 K)   -1099 kJ/mol of formula units



Here is a geometry-optimized Ca3Ce2SmP6 structure from Alexandria via LeMat-Bulk. Energies are from PBE.

Lattice parameters (Å, degrees): 7.184 7.184 7.063 99.76 99.76 120.03
Fractional coordinates of all 12 atoms:
Ca (0.000, 0.000, 0.000)
Ca (0.335, 0.665, 0.000)
Ca (0.665, 0.335, 0.000)
Ce (0.167, 0.833, 0.500)
Ce (0.833, 0.167, 0.500)
Sm (0.500, 0.500, 0.500)
P (0.083, 0.422, 0.265)
P (0.240, 0.240, 0.735)
P (0.422, 0.083, 0.265)
P (0.578, 0.917, 0.735)
P (0.760, 0.760, 0.265)
P (0.917, 0.578, 0.735)

Space-group type   C2/m, No. 12
ΔH_f (0 K)   -1462 kJ/mol of formula units



Here is a geometry-optimized CaCeSm2P4 structure from Alexandria via LeMat-Bulk. Energies are from PBE.

Lattice parameters (Å, degrees): 7.079 4.121 7.112 90.00 109.08 90.00
Fractional coordinates of all 8 atoms:
Ca (0.000, 0.000, 0.000)
Ce (0.500, 0.500, 0.000)
Sm (0.000, 0.500, 0.500)
Sm (0.500, 0.000, 0.500)
P (0.256, 0.000, 0.753)
P (0.259, 0.500, 0.249)
P (0.741, 0.500, 0.751)
P (0.744, 0.000, 0.247)

Space-group type   P2/m, No. 10
ΔH_f (0 K)   -1096 kJ/mol of formula units



Here is a geometry-optimized CaTbCe2P4 structure from Alexandria via LeMat-Bulk. Energies are from PBE.

Lattice parameters (Å, degrees): 7.032 4.097 7.111 90.00 109.61 90.00
Fractional coordinates of all 8 atoms:
Ca (0.000, 0.000, 0.000)
Tb (0.000, 0.500, 0.500)
Ce (0.500, 0.000, 0.500)
Ce (0.500, 0.500, 0.000)
P (0.253, 0.000, 0.746)
P (0.259, 0.500, 0.259)
P (0.741, 0.500, 0.741)
P (0.747, 0.000, 0.254)

Space-group type   P2/m, No. 10
ΔH_f (0 K)   -1105 kJ/mol of formula units



Here is a geometry-optimized Ca3TbCe2P6 structure from Alexandria via LeMat-Bulk. Energies are from PBE.

Lattice parameters (Å, degrees): 7.149 7.149 7.056 99.72 99.72 120.03
Fractional coordinates of all 12 atoms:
Ca (0.000, 0.000, 0.000)
Ca (0.334, 0.666, 0.000)
Ca (0.666, 0.334, 0.000)
Tb (0.500, 0.500, 0.500)
Ce (0.167, 0.833, 0.500)
Ce (0.833, 0.167, 0.500)
P (0.086, 0.422, 0.266)
P (0.242, 0.242, 0.734)
P (0.422, 0.086, 0.266)
P (0.578, 0.914, 0.734)
P (0.758, 0.758, 0.266)
P (0.914, 0.578, 0.734)

Space-group type   C2/m, No. 12
ΔH_f (0 K)   -1471 kJ/mol of formula units



Here is a geometry-optimized Ca3Ce2ThP6 structure from Alexandria via LeMat-Bulk. Energies are from PBE.

Lattice parameters (Å, degrees): 7.211 7.211 7.087 99.76 99.76 119.99
Fractional coordinates of all 12 atoms:
Ca (0.000, 0.000, 0.000)
Ca (0.334, 0.666, 0.000)
Ca (0.666, 0.334, 0.000)
Ce (0.167, 0.833, 0.500)
Ce (0.833, 0.167, 0.500)
Th (0.500, 0.500, 0.500)
P (0.085, 0.422, 0.266)
P (0.241, 0.241, 0.735)
P (0.422, 0.085, 0.266)
P (0.578, 0.915, 0.734)
P (0.759, 0.759, 0.265)
P (0.915, 0.578, 0.734)

Space-group type   C2/m, No. 12
ΔH_f (0 K)   -1556 kJ/mol of formula units



Here is a geometry-optimized Ca2CeTmP4 structure from Alexandria via LeMat-Bulk. Energies are from PBE.

Lattice parameters (Å, degrees): 7.049 4.096 7.063 90.00 109.63 90.00
Fractional coordinates of all 8 atoms:
Ca (0.000, 0.000, 0.000)
Ca (0.500, 0.500, 0.000)
Ce (0.000, 0.500, 0.500)
Tm (0.500, 0.000, 0.500)
P (0.246, 0.000, 0.733)
P (0.258, 0.500, 0.267)
P (0.742, 0.500, 0.733)
P (0.754, 0.000, 0.267)

Space-group type   P2/m, No. 10
ΔH_f (0 K)   -961 kJ/mol of formula units



For the records above, the corresponding total energy values read -71.5 -51.6 -70.2 -50.4 -51.6 -70.2 -73.9 -46.0 eV per cell.